The following is a DFT calculation (PBE with a Hubbard U) of a geometry-optimized VP2AuO structure.

POSCAR file:
```
VP2AuO
1.0
4.8095 0.0000 0.0000
0.0000 4.8095 0.0000
0.0000 0.0000 3.9477
V P Au O
1 2 1 1
direct
0.0000 0.0000 0.0000
0.0000 0.5000 0.5000
0.5000 0.0000 0.5000
0.5000 0.5000 0.5000
0.5000 0.5000 0.0000
```

Values from the calculation:
Volume in Å³/atom: 18.26
Final energy in eV per cell: -20.3